{
  "formula": "La2PmUN4",
  "functional": "PBE-GGA",
  "state": "optimized geometry",
  "vol_a3_per_atom": 16.65,
  "formation_energy_uncorrected_ev_per_atom": -1.419,
  "dft_energy_ev_per_atom": -8.82,
  "space_group": "P2/m (10)",
  "magmom_total_mub_per_cell": 0.0,
  "lattice": [[3.605, 0.000, 0.000], [0.000, 6.188, 0.111], [0.000, -2.161, 5.934]],
  "species": ["N", "La", "Pm", "N", "N", "U", "La", "N"],
  "fractional_positions": [[0.500, 0.788, 0.794], [0.500, 0.000, 0.500], [0.500, 0.500, 0.000], [0.000, 0.224, 0.789], [0.000, 0.776, 0.211], [0.000, 0.000, 0.000], [0.000, 0.500, 0.500], [0.500, 0.212, 0.206]]
}



{
  "formula": "K2Tl3HgI6",
  "functional": "PBE-GGA",
  "state": "optimized geometry",
  "vol_a3_per_atom": 43.57,
  "formation_energy_uncorrected_ev_per_atom": -0.807,
  "dft_energy_ev_per_atom": -2.38,
  "space_group": "C2/m (12)",
  "magmom_total_mub_per_cell": 0.0,
  "lattice": [[8.596, -0.007, 0.007], [-4.302, 7.442, 0.007], [-1.426, -2.468, 8.172]],
  "species": ["I", "Tl", "I", "Tl", "Tl", "Hg", "I", "I", "K", "K", "I", "I"],
  "fractional_positions": [[0.594, 0.920, 0.756], [0.173, 0.827, 0.500], [0.920, 0.594, 0.756], [0.827, 0.173, 0.500], [0.500, 0.500, 0.500], [0.000, 0.000, 0.000], [0.406, 0.080, 0.244], [0.080, 0.406, 0.244], [0.665, 0.335, 0.000], [0.335, 0.665, 0.000], [0.241, 0.241, 0.749], [0.759, 0.759, 0.251]]
}



{
  "formula": "B2PtCl",
  "functional": "PBE-GGA",
  "state": "optimized geometry",
  "vol_a3_per_atom": 12.64,
  "e_above_lowest_polymorph_mev_per_atom": 1192,
  "formation_energy_uncorrected_ev_per_atom": 1.803,
  "dft_energy_ev_per_atom": -3.51,
  "space_group": "Fm-3m (225)",
  "magmom_total_mub_per_cell": 0.0,
  "lattice": [[0.000, 2.935, 2.935], [2.935, 0.000, 2.935], [2.935, 2.935, 0.000]],
  "species": ["B", "B", "Pt", "Cl"],
  "fractional_positions": [[0.250, 0.250, 0.250], [0.750, 0.750, 0.750], [0.500, 0.500, 0.500], [0.000, 0.000, 0.000]]
}



{
  "formula": "SrReBr",
  "functional": "PBE-GGA",
  "state": "optimized geometry",
  "vol_a3_per_atom": 36.52,
  "e_above_lowest_polymorph_mev_per_atom": 396,
  "formation_energy_uncorrected_ev_per_atom": 1.178,
  "dft_energy_ev_per_atom": -4.09,
  "space_group": "F-43m (216)",
  "magmom_total_mub_per_cell": 4.0,
  "lattice": [[5.371, 0.000, 0.000], [2.685, 4.651, 0.000], [2.685, 1.550, 4.385]],
  "species": ["Sr", "Re", "Br"],
  "fractional_positions": [[0.750, 0.750, 0.750], [0.500, 0.500, 0.500], [0.000, 0.000, 0.000]]
}



{
  "formula": "CaAsS2Cl",
  "functional": "PBE-GGA",
  "state": "optimized geometry",
  "vol_a3_per_atom": 28.04,
  "e_above_lowest_polymorph_mev_per_atom": 756,
  "formation_energy_uncorrected_ev_per_atom": 0.056,
  "dft_energy_ev_per_atom": -3.29,
  "space_group": "P4/mmm (123)",
  "magmom_total_mub_per_cell": 0.0,
  "lattice": [[-0.309, -3.801, -3.706], [-1.745, -3.434, 3.667], [-4.675, 1.333, -0.976]],
  "species": ["S", "S", "Cl", "As", "Ca"],
  "fractional_positions": [[0.000, 0.500, 0.000], [0.500, 0.000, 0.000], [0.000, 0.000, 0.500], [0.500, 0.500, 0.500], [0.000, 0.000, 0.000]]
}



{
  "formula": "Ho2Ge3Ir",
  "functional": "PBE-GGA",
  "state": "optimized geometry",
  "ef_ev_per_atom": -0.745,
  "vol_a3_per_atom": 19.92,
  "dft_energy_ev_per_atom": -6.06,
  "space_group": "Cm (8)",
  "magmom_total_mub_per_cell": 0.0,
  "lattice": [[-0.688, 3.358, 2.717], [-5.039, -0.187, 2.476], [1.040, -1.387, 5.498]],
  "species": ["Ge", "Ho", "Ge", "Ir", "Ho", "Ge"],
  "fractional_positions": [[0.815, 0.254, 0.117], [0.549, 0.191, 0.711], [0.867, 0.605, 0.660], [0.169, 0.380, 0.281], [0.436, 0.811, 0.316], [0.164, 0.759, 0.914]]
}



{
  "formula": "CeSc2Te",
  "functional": "PBE-GGA",
  "state": "optimized geometry",
  "vol_a3_per_atom": 27.79,
  "e_above_lowest_polymorph_mev_per_atom": 382,
  "formation_energy_uncorrected_ev_per_atom": -0.099,
  "dft_energy_ev_per_atom": -5.53,
  "space_group": "R-3m (166)",
  "magmom_total_mub_per_cell": 1.0,
  "lattice": [[-0.210, 2.058, -2.896], [1.620, -0.993, -3.010], [-7.906, -4.564, -4.856]],
  "species": ["Ce", "Sc", "Te", "Sc"],
  "fractional_positions": [[0.000, 0.000, 0.000], [0.100, 0.100, 0.700], [0.500, 0.500, 0.500], [0.900, 0.900, 0.300]]
}



{
  "formula": "Ti3CdPd4",
  "functional": "PBE-GGA",
  "state": "optimized geometry",
  "ef_ev_per_atom": -0.475,
  "vol_a3_per_atom": 16.13,
  "e_above_lowest_polymorph_mev_per_atom": 0,
  "dft_energy_ev_per_atom": -6.15,
  "space_group": "Pmma (51)",
  "magmom_total_mub_per_cell": 3.2,
  "lattice": [[4.790, 0.000, 0.000], [0.000, 5.816, 0.000], [0.000, 0.000, 9.265]],
  "species": ["Pd", "Ti", "Pd", "Pd", "Ti", "Ti", "Ti", "Cd", "Pd", "Cd", "Ti", "Pd", "Pd", "Pd", "Pd", "Ti"],
  "fractional_positions": [[0.500, 0.757, 0.500], [0.000, 0.000, 0.500], [0.500, 0.757, 0.000], [0.882, 0.242, 0.250], [0.601, 0.500, 0.750], [0.399, 0.500, 0.250], [0.000, 0.000, 0.000], [0.000, 0.500, 0.000], [0.118, 0.242, 0.750], [0.000, 0.500, 0.500], [0.395, 0.000, 0.250], [0.882, 0.758, 0.250], [0.500, 0.243, 0.500], [0.118, 0.758, 0.750], [0.500, 0.243, 0.000], [0.605, 0.000, 0.750]]
}



{
  "formula": "K2Si7Pt12",
  "functional": "PBE-GGA",
  "state": "optimized geometry",
  "vol_a3_per_atom": 16.36,
  "formation_energy_uncorrected_ev_per_atom": -0.613,
  "dft_energy_ev_per_atom": -5.98,
  "space_group": "P-6 (174)",
  "magmom_total_mub_per_cell": 0.0,
  "lattice": [[3.906, 0.000, 0.000], [0.000, 8.728, -5.039], [0.000, 0.000, 10.078]],
  "species": ["Si", "Pt", "K", "Pt", "Si", "Si", "Pt", "Pt", "K", "Pt", "Pt", "Pt", "Pt", "Pt", "Si", "Si", "Pt", "Si", "Pt", "Si", "Pt"],
  "fractional_positions": [[0.500, 0.931, 0.377], [0.500, 0.717, 0.111], [0.500, 0.000, 0.000], [0.500, 0.224, 0.810], [0.000, 0.045, 0.783], [0.000, 0.333, 0.667], [0.000, 0.776, 0.730], [0.500, 0.190, 0.415], [0.000, 0.667, 0.333], [0.000, 0.953, 0.224], [0.000, 0.486, 0.934], [0.500, 0.394, 0.283], [0.000, 0.066, 0.553], [0.000, 0.447, 0.514], [0.500, 0.445, 0.069], [0.000, 0.217, 0.262], [0.500, 0.585, 0.776], [0.500, 0.623, 0.555], [0.500, 0.889, 0.606], [0.000, 0.738, 0.955], [0.000, 0.270, 0.047]]
}



{
  "formula": "PmYZnCd",
  "functional": "PBE-GGA",
  "state": "optimized geometry",
  "ef_ev_per_atom": -0.337,
  "vol_a3_per_atom": 25.43,
  "e_above_lowest_polymorph_mev_per_atom": 0,
  "dft_energy_ev_per_atom": -3.69,
  "space_group": "P4mm (99)",
  "magmom_total_mub_per_cell": 0.0,
  "lattice": [[3.645, 0.000, 0.000], [0.000, 3.645, 0.000], [0.000, 0.000, 7.655]],
  "species": ["Y", "Cd", "Zn", "Pm"],
  "fractional_positions": [[0.500, 0.500, 0.587], [0.000, 0.000, 0.846], [0.000, 0.000, 0.369], [0.500, 0.500, 0.126]]
}



{
  "formula": "CdSI2O",
  "functional": "PBE-GGA",
  "state": "optimized geometry",
  "vol_a3_per_atom": 30.07,
  "e_above_lowest_polymorph_mev_per_atom": 380,
  "formation_energy_uncorrected_ev_per_atom": 0.509,
  "dft_energy_ev_per_atom": -2.11,
  "space_group": "P4/mmm (123)",
  "magmom_total_mub_per_cell": 1.5,
  "lattice": [[6.034, 0.000, 0.000], [0.000, 6.034, 0.000], [0.000, 0.000, 4.130]],
  "species": ["O", "I", "S", "Cd", "I"],
  "fractional_positions": [[0.000, 0.000, 0.500], [0.500, 0.000, 0.000], [0.500, 0.500, 0.500], [0.000, 0.000, 0.000], [0.000, 0.500, 0.000]]
}



{
  "formula": "Sm3Cd2In2",
  "functional": "PBE-GGA",
  "state": "optimized geometry",
  "ef_ev_per_atom": -0.392,
  "vol_a3_per_atom": 26.82,
  "dft_energy_ev_per_atom": -3.46,
  "space_group": "Cmmm (65)",
  "magmom_total_mub_per_cell": 0.5,
  "lattice": [[4.746, 0.000, 0.630], [0.000, 3.503, 0.000], [0.900, 0.000, 11.413]],
  "species": ["Sm", "In", "Cd", "Sm", "Sm", "In", "Cd"],
  "fractional_positions": [[0.846, 0.000, 0.307], [0.576, 0.500, 0.847], [0.284, 0.500, 0.432], [0.000, 0.000, 0.000], [0.154, 0.000, 0.693], [0.424, 0.500, 0.153], [0.716, 0.500, 0.568]]
}